A plane-wave DFT calculation with PBE was carried out for an optimized crystal structure of CsNa2LaI6.

Summary:
Total magnetic moment = 0.00 Bohr magnetons per cell
D(E_F) = 0.00 states/eV/cell
Calculated total energy = -0.2341 Ry per atom
Formation energy (no corrections) = -1414 meV/atom

Geometry as extended XYZ:
```
10
Lattice="8.382 0.001 0.001 4.192 7.260 0.001 4.192 2.420 7.743" Properties=species:S:1:pos:R:3 pbc="T T T"
I 6.990 7.293 1.784
I 6.068 4.179 5.803
I 6.954 2.407 1.785
I 11.203 4.821 1.786
I 10.114 3.168 5.803
I 8.968 7.176 5.804
Na 12.573 7.261 0.016
Na 8.381 4.840 3.465
Cs 12.575 7.263 4.687
La 4.191 2.420 0.168
```

A plane-wave DFT calculation with PBE was carried out for an optimized crystal structure of Cs3Na2LaI9.

Summary:
Total magnetic moment = 0.53 Bohr magnetons per cell
D(E_F) = 17.43 states/eV/cell
Calculated total energy = -0.2145 Ry per atom
Formation energy (no corrections) = -1314 meV/atom

Geometry as extended XYZ:
```
15
Lattice="-2.193 -6.807 -5.043 0.413 -0.946 8.690 -10.820 2.873 0.827" Properties=species:S:1:pos:R:3 pbc="T T T"
I -8.747 -4.385 2.131
I -4.739 -4.351 4.158
I -1.097 -3.403 -2.521
I -8.953 -3.914 -2.192
I -7.862 -0.528 0.316
I -3.648 -0.965 6.666
I 0.207 -0.473 4.345
I -0.890 -3.876 1.823
I -3.853 -0.495 2.344
Cs 0.000 0.000 0.000
Cs -7.937 -0.913 4.684
Cs -4.663 -3.967 -0.210
Na -2.225 -2.430 4.247
Na -10.375 -2.450 0.227
La -5.410 1.437 0.414
```

A plane-wave DFT calculation with PBE was carried out for an optimized crystal structure of Cs2LaNbI6.

Summary:
Total magnetic moment = 2.00 Bohr magnetons per cell
D(E_F) = 4.15 states/eV/cell
Calculated total energy = -0.2660 Ry per atom
Formation energy (no corrections) = -1019 meV/atom

Geometry as extended XYZ:
```
10
Lattice="-5.779 -4.243 -4.650 -3.136 -3.534 7.121 -8.318 0.724 1.824" Properties=species:S:1:pos:R:3 pbc="T T T"
I -3.825 -3.719 4.052
I -2.324 -2.027 0.644
I -6.591 -5.750 1.826
I -6.305 -1.681 1.517
I -5.090 -4.058 -1.582
I -10.928 -5.372 2.778
Cs -9.277 -3.704 -0.795
Cs -7.956 -3.349 5.090
La 0.000 0.000 0.000
Nb -4.457 -3.888 1.235
```

A plane-wave DFT calculation with PBE was carried out for an optimized crystal structure of CsLaI2O.

Summary:
Total magnetic moment = 0.00 Bohr magnetons per cell
D(E_F) = 0.00 states/eV/cell
Calculated total energy = -0.3525 Ry per atom
Formation energy (no corrections) = -2028 meV/atom

Geometry as extended XYZ:
```
5
Lattice="6.760 0.000 0.000 0.000 6.760 0.000 0.000 0.000 4.401" Properties=species:S:1:pos:R:3 pbc="T T T"
Cs 3.380 3.380 2.200
O 0.000 0.000 2.200
I 0.000 3.380 0.000
I 3.380 0.000 0.000
La 0.000 0.000 0.000
```

A plane-wave DFT calculation with PBE was carried out for an optimized crystal structure of Cs2LaI2O2.

Summary:
Total magnetic moment = 0.90 Bohr magnetons per cell
D(E_F) = 8.26 states/eV/cell
Calculated total energy = -0.3351 Ry per atom
Formation energy (no corrections) = -1752 meV/atom

Geometry as extended XYZ:
```
7
Lattice="4.848 0.000 0.000 0.000 4.848 0.000 -2.424 -2.424 9.929" Properties=species:S:1:pos:R:3 pbc="T T T"
I 2.424 2.424 6.445
I 0.000 0.000 3.483
Cs 0.000 0.000 7.689
Cs 2.424 2.424 2.240
O 2.424 0.000 0.000
O 0.000 2.424 0.000
La 0.000 0.000 0.000
```

A plane-wave DFT calculation with PBE was carried out for an optimized crystal structure of Cs2LaIO6.

Summary:
Total magnetic moment = 0.00 Bohr magnetons per cell
D(E_F) = 0.00 states/eV/cell
Calculated total energy = -0.3920 Ry per atom
Formation energy (no corrections) = -1540 meV/atom

Geometry as extended XYZ:
```
10
Lattice="6.193 0.000 0.000 0.000 6.864 0.000 0.000 -3.432 5.944" Properties=species:S:1:pos:R:3 pbc="T T T"
O 1.167 3.432 4.413
O 1.167 1.326 0.765
O 5.026 2.106 5.179
O 1.167 5.538 0.765
O 5.026 -2.106 5.179
O 5.026 0.000 1.531
I 0.000 0.000 0.000
Cs 0.694 0.000 3.963
Cs 5.499 3.432 1.981
La 3.096 0.000 0.000
```

A plane-wave DFT calculation with PBE was carried out for an optimized crystal structure of CsLaI2O.

Summary:
Total magnetic moment = 0.11 Bohr magnetons per cell
D(E_F) = 6.91 states/eV/cell
Calculated total energy = -0.2307 Ry per atom
Formation energy (no corrections) = -371 meV/atom

Geometry as extended XYZ:
```
5
Lattice="6.788 0.000 0.000 0.000 6.788 0.000 0.000 0.000 4.393" Properties=species:S:1:pos:R:3 pbc="T T T"
I 3.394 0.000 0.000
I 0.000 3.394 0.000
O 0.000 0.000 2.196
Cs 0.000 0.000 0.000
La 3.394 3.394 2.196
```

A plane-wave DFT calculation with PBE was carried out for an optimized crystal structure of Cs2La10Os2I17.

Summary:
Total magnetic moment = 0.16 Bohr magnetons per cell
D(E_F) = 19.20 states/eV/cell
Calculated total energy = -0.3343 Ry per atom
Formation energy (no corrections) = -1330 meV/atom

Geometry as extended XYZ:
```
31
Lattice="11.938 0.020 0.008 -3.628 11.373 0.008 0.577 0.790 10.085" Properties=species:S:1:pos:R:3 pbc="T T T"
I 4.851 6.651 2.880
I 4.036 5.533 7.221
I 0.000 0.000 0.000
I -0.159 10.434 2.765
I 5.839 2.469 4.220
I 0.568 6.314 4.220
I 3.984 10.931 1.434
I 6.420 8.802 8.798
I -0.304 5.052 8.667
I 9.984 3.036 2.765
I 9.191 7.133 1.434
I 2.467 3.383 1.303
I -1.097 9.148 7.336
I 9.046 1.750 7.336
I 8.319 5.870 5.881
I 4.903 1.253 8.667
I 3.048 9.715 5.881
La 6.711 9.201 1.883
La 2.997 4.109 4.437
La 8.662 0.448 4.332
La 0.724 0.992 3.239
La -2.219 8.385 4.332
La 11.106 3.800 5.769
La 5.890 8.075 5.664
La 8.163 11.192 6.863
La 0.225 11.736 5.769
La 2.176 2.983 8.218
Os 1.513 2.075 5.744
Os 7.373 10.109 4.357
Cs 1.423 7.689 0.008
Cs 6.887 3.704 0.008
```

A plane-wave DFT calculation with PBE was carried out for an optimized crystal structure of CsLaPbI6.

Summary:
Total magnetic moment = 0.00 Bohr magnetons per cell
D(E_F) = 0.00 states/eV/cell
Calculated total energy = -0.2397 Ry per atom
Formation energy (no corrections) = -1173 meV/atom

Geometry as extended XYZ:
```
18
Lattice="11.829 0.000 0.000 0.000 11.470 0.000 -5.914 -5.735 8.355" Properties=species:S:1:pos:R:3 pbc="T T T"
Pb 5.914 0.000 0.000
Pb 5.914 5.735 0.000
I -2.419 6.240 6.217
I 3.495 6.240 2.138
I 3.495 -0.505 2.138
I -2.419 -0.505 6.217
I 8.334 6.240 2.138
I 8.334 -0.505 2.138
I 2.419 6.240 6.217
I 5.914 -2.868 5.376
I 5.914 2.868 1.407
I 0.000 8.603 2.978
I 0.000 2.868 6.948
I 2.419 -0.505 6.217
La 2.957 -2.868 4.177
La -2.957 -2.868 4.177
Cs 5.914 2.868 5.183
Cs 0.000 2.868 3.172
```

A plane-wave DFT calculation with PBE was carried out for an optimized crystal structure of Cs2LaPdI6.

Summary:
Total magnetic moment = 1.05 Bohr magnetons per cell
D(E_F) = 4.65 states/eV/cell
Calculated total energy = -0.2442 Ry per atom
Formation energy (no corrections) = -1210 meV/atom

Geometry as extended XYZ:
```
10
Lattice="7.075 0.000 0.000 0.000 8.587 0.000 0.000 -4.293 7.436" Properties=species:S:1:pos:R:3 pbc="T T T"
I 5.437 2.114 6.178
I 1.638 4.293 4.920
I 5.437 -2.114 6.178
I 1.638 6.407 1.258
I 1.638 2.179 1.258
I 5.437 0.000 2.516
Cs 1.767 0.000 4.957
Cs 5.308 4.293 2.479
Pd 0.000 0.000 0.000
La 3.537 0.000 0.000
```